[1]
A relaxed structure of Pr2TmBi3. Source: the Alexandria database, functional GGA-PBE.

The structure in POSCAR format:
```
Pr2TmBi3
1.0
-6.1812 -3.6552 -3.3635
4.9408 -4.0606 4.6884
-3.8067 4.2711 5.4732
Pr Tm Bi
4 2 6
Cartesian
-6.2310 -1.5872 0.7150
1.2335 -3.9255 2.0044
1.1467 -1.8561 6.0562
-2.4866 -1.7237 3.4258
1.1190 0.2111 10.1506
-2.4587 -3.7909 -0.6686
-1.9926 -2.6951 6.5226
0.6529 -0.8847 2.9595
-5.6265 -2.4724 3.8291
-3.2358 1.3210 4.4484
-3.0448 -0.8402 0.3452
-1.8945 -4.7627 2.2894
```

Calculated values
- DOS(E_F): 2.3 states/eV/cell
- DFT formation energy: -891.4 meV/atom

=====

[2]
A relaxed structure of PrTmBi. Source: the Alexandria database, functional GGA-PBE.

The structure in POSCAR format:
```
PrTmBi
1.0
-0.3026 -3.6266 1.8708
3.5499 -1.1591 -1.6729
1.1130 4.4316 4.2957
Pr Tm Bi
1 1 1
Cartesian
4.0466 -0.5879 3.9899
2.3566 -1.8469 1.2760
1.4964 1.1147 2.4030
```

Calculated values
- DOS(E_F): 2.6 states/eV/cell
- DFT formation energy: -458.0 meV/atom